Record 1
! PBE-GGA HfHAu, optimized geometry; values from VASP
! Offset from the most stable computed form: 0.101 eV per atom
&SYSTEM
  ibrav = 0, nat = 3, ntyp = 3
/
ATOMIC_SPECIES
Hf 178.49 Hf.upf
Au 196.97 Au.upf
H 1.01 H.upf
ATOMIC_POSITIONS angstrom
Hf -0.187 0.665 -0.293
Au -2.581 2.383 -0.657
H -0.802 1.260 1.430
CELL_PARAMETERS angstrom
-1.126 4.004 -1.766
-3.048 -1.160 -0.687
0.605 1.463 2.933



Record 2
! PBE-GGA Pu2RuN, optimized geometry; values from VASP
! ΔE_f (raw): -540 meV/atom
! Offset from the most stable computed form: 0.000 eV per atom
&SYSTEM
  ibrav = 0, nat = 4, ntyp = 3
/
ATOMIC_SPECIES
Ru 101.07 Ru.upf
N 14.01 N.upf
Pu 244.00 Pu.upf
ATOMIC_POSITIONS angstrom
Ru 0.000 0.000 0.000
N -5.036 0.945 -1.224
Pu -7.330 1.323 -2.002
Pu -2.742 0.567 -0.446
CELL_PARAMETERS angstrom
-1.413 1.513 -2.765
-2.216 -1.755 -1.985
-6.443 2.132 2.302



Record 3
! PBE-GGA Mg6Zn2Ru, optimized geometry; values from VASP
! DFT total energy: -2.183 eV per atom
&SYSTEM
  ibrav = 0, nat = 18, ntyp = 3
/
ATOMIC_SPECIES
Mg 24.30 Mg.upf
Zn 65.41 Zn.upf
Ru 101.07 Ru.upf
ATOMIC_POSITIONS angstrom
Mg 5.033 5.033 1.419
Mg 5.033 5.033 7.557
Mg 4.975 4.975 4.488
Mg 5.290 1.553 0.000
Mg 5.232 1.612 3.069
Mg 5.232 1.612 5.908
Mg 1.612 5.232 3.069
Mg 1.612 5.232 5.908
Mg 1.553 5.290 0.000
Mg 1.868 1.868 4.488
Mg 1.810 1.810 1.419
Mg 1.810 1.810 7.557
Zn 3.422 3.422 2.650
Zn 3.422 3.422 6.326
Zn 0.000 0.000 1.838
Zn 0.000 0.000 7.139
Ru 3.422 3.422 0.000
Ru 0.000 0.000 4.488
CELL_PARAMETERS angstrom
6.843 0.000 0.000
0.000 6.843 0.000
0.000 0.000 8.977



Record 4
! PBE-GGA Li2Mg4Ga, optimized geometry; values from VASP
! Offset from the most stable computed form: 0.028 eV per atom
&SYSTEM
  ibrav = 0, nat = 14, ntyp = 3
/
ATOMIC_SPECIES
Li 6.94 Li.upf
Mg 24.30 Mg.upf
Ga 69.72 Ga.upf
ATOMIC_POSITIONS angstrom
Li 6.031 4.223 -0.485
Li -2.227 1.408 7.234
Li 1.337 1.408 2.941
Li 2.467 4.223 3.808
Mg 3.489 2.835 1.244
Mg -2.388 4.223 6.064
Mg 6.192 1.408 0.685
Mg 3.489 5.612 1.244
Mg 5.027 1.408 3.624
Mg 0.315 0.019 5.505
Mg 0.315 2.797 5.505
Mg -1.222 4.223 3.125
Ga 1.019 4.223 1.492
Ga 2.785 1.408 5.257
CELL_PARAMETERS angstrom
7.356 0.000 -0.629
0.000 5.631 0.000
-3.552 0.000 7.378



Record 5
! PBE-GGA CaPr3Sb4, optimized geometry; values from VASP
! ΔE_f (raw): -1069 meV/atom
! Offset from the most stable computed form: 0.000 eV per atom
&SYSTEM
  ibrav = 0, nat = 8, ntyp = 3
/
ATOMIC_SPECIES
Ca 40.08 Ca.upf
Pr 140.91 Pr.upf
Sb 121.76 Sb.upf
ATOMIC_POSITIONS angstrom
Ca -0.239 0.994 -2.034
Pr -0.314 3.522 1.757
Pr -4.139 2.905 -0.642
Pr -3.586 -1.610 -0.366
Sb -1.952 0.957 0.697
Sb -5.776 0.338 -1.704
Sb -5.848 2.866 2.087
Sb -2.502 5.472 0.420
CELL_PARAMETERS angstrom
-0.478 1.987 -4.068
-7.173 -3.221 -0.731
-0.627 7.044 3.515



Record 6
! PBE-GGA BaZrHg2Au, optimized geometry; values from VASP
! DFT total energy: -2.949 eV per atom
&SYSTEM
  ibrav = 0, nat = 5, ntyp = 4
/
ATOMIC_SPECIES
Au 196.97 Au.upf
Hg 200.59 Hg.upf
Zr 91.22 Zr.upf
Ba 137.33 Ba.upf
ATOMIC_POSITIONS angstrom
Au 0.000 2.653 0.000
Hg 0.000 0.000 2.808
Hg 2.808 0.000 0.000
Zr 0.000 0.000 0.000
Ba 2.808 2.653 2.808
CELL_PARAMETERS angstrom
5.615 0.000 0.000
0.000 5.306 0.000
0.000 0.000 5.615



Record 7
! PBE-GGA Nd5Au3, optimized geometry; values from VASP
! DFT total energy: -4.766 eV per atom
&SYSTEM
  ibrav = 0, nat = 16, ntyp = 2
/
ATOMIC_SPECIES
Nd 144.24 Nd.upf
Au 196.97 Au.upf
ATOMIC_POSITIONS angstrom
Nd 0.000 0.000 0.000
Nd -2.885 1.630 -4.247
Nd -3.664 -4.647 1.856
Nd -0.590 -5.475 -2.853
Nd -4.251 -4.014 -2.069
Nd -0.003 -6.109 1.073
Nd -2.269 -0.978 -6.817
Nd -5.344 -0.150 -2.108
Nd -1.682 -1.611 -2.892
Nd -5.931 0.484 -6.034
Au -4.409 -1.997 -4.604
Au -1.524 -3.628 -0.357
Au -0.185 0.559 -4.890
Au -5.584 2.702 -3.604
Au -2.391 1.138 -1.355
Au -3.378 2.122 -7.139
CELL_PARAMETERS angstrom
-6.931 3.008 -0.970
1.162 0.252 -7.524
-0.164 -8.886 3.533



Record 8
! PBE-GGA Ca2OsCl, optimized geometry; values from VASP
! ΔE_f (raw): -328 meV/atom
! Offset from the most stable computed form: 0.163 eV per atom
&SYSTEM
  ibrav = 0, nat = 4, ntyp = 3
/
ATOMIC_SPECIES
Ca 40.08 Ca.upf
Os 190.23 Os.upf
Cl 35.45 Cl.upf
ATOMIC_POSITIONS angstrom
Ca 0.000 0.000 0.000
Ca 2.649 2.648 -0.014
Os 0.010 2.658 1.531
Cl 2.658 0.009 1.531
CELL_PARAMETERS angstrom
5.298 -0.001 -0.014
0.000 5.298 -0.014
0.019 0.019 3.077



Record 9
! PBE-GGA YZnIrOs2, optimized geometry; values from VASP
! DFT total energy: -6.965 eV per atom
&SYSTEM
  ibrav = 0, nat = 5, ntyp = 4
/
ATOMIC_SPECIES
Y 88.91 Y.upf
Zn 65.41 Zn.upf
Ir 192.22 Ir.upf
Os 190.23 Os.upf
ATOMIC_POSITIONS angstrom
Y 2.396 2.324 2.396
Zn 0.000 2.324 0.000
Ir 0.000 0.000 0.000
Os 0.000 0.000 2.396
Os 2.396 0.000 0.000
CELL_PARAMETERS angstrom
4.793 0.000 0.000
0.000 4.649 0.000
0.000 0.000 4.793



Record 10
! PBE-GGA Pm6YHo2Tm3, optimized geometry; values from VASP
! DFT total energy: -4.781 eV per atom
&SYSTEM
  ibrav = 0, nat = 12, ntyp = 4
/
ATOMIC_SPECIES
Pm 145.00 Pm.upf
Y 88.91 Y.upf
Ho 164.93 Ho.upf
Tm 168.93 Tm.upf
ATOMIC_POSITIONS angstrom
Pm 3.103 1.773 8.674
Pm 2.070 3.584 2.926
Pm -1.041 1.798 2.914
Pm -0.015 3.574 8.674
Pm -0.008 -0.013 8.662
Pm 2.077 -0.003 2.914
Y 0.000 0.000 0.000
Ho 0.001 3.592 0.009
Ho 3.110 1.796 0.009
Tm -2.078 3.581 5.794
Tm 4.140 -0.010 5.794
Tm 1.031 1.785 5.794
CELL_PARAMETERS angstrom
6.221 0.000 0.009
-3.109 5.388 0.009
-1.050 -1.817 11.571



Quick rundown of magnetization, same order as above: 0.0, 9.7, 0.0, 0.0, 0.0, 0.0, 0.0, 0.0, 0.0, 0.0 Bohr magnetons per cell